1.
ErTaP2 | PBE | optimized geometry

Values from the calculation:
Formation enthalpy at 0 K   -1.07 eV/atom
Energy relative to the lowest polymorph listed for this composition   0.070 eV per atom
Space-group type   No. 166

```
ErTaP2
1.0
-1.2843 -2.4273 -2.5161
2.3160 -2.4631 -1.5626
-0.8930 -5.6601 3.1595
Ta P Er
1 2 1
direct
0.0000 0.0000 0.0000
0.7421 0.7421 0.7738
0.2579 0.2579 0.2262
0.5000 0.5000 0.5000
```

---

2.
NbVCo | PBE | optimized geometry

Values from the calculation:
Formation enthalpy at 0 K   -0.17 eV/atom
Energy relative to the lowest polymorph listed for this composition   0.008 eV per atom
Space-group type   No. 38

```
NbVCo
1.0
4.8642 -0.0158 0.0000
-2.3366 4.2663 0.0000
0.0000 0.0000 8.0909
Nb V Co
4 4 4
direct
0.3408 0.6592 0.8037
0.6714 0.3286 0.6838
0.6714 0.3286 0.3162
0.3408 0.6592 0.1963
0.8379 0.6599 0.0000
0.1567 0.8433 0.5000
0.3401 0.1621 0.0000
0.8325 0.1675 0.0000
0.6493 0.8419 0.5000
0.0007 0.9993 0.7440
0.0007 0.9993 0.2560
0.1581 0.3507 0.5000
```

---

3.
RePtIO2 | PBE | optimized geometry

Values from the calculation:
Uncorrected formation energy   -447 meV/atom
Energy relative to the lowest polymorph listed for this composition   0.000 eV per atom
Space-group type   No. 123

```
RePtIO2
1.0
3.8022 0.0000 0.0000
0.0000 3.8022 0.0000
0.0000 0.0000 6.0357
O Re I Pt
2 1 1 1
direct
0.0000 0.5000 0.0000
0.5000 0.0000 0.0000
0.0000 0.0000 0.0000
0.0000 0.0000 0.5000
0.5000 0.5000 0.5000
```

---

4.
CsIn5Pt2 | PBE | optimized geometry

Values from the calculation:
Formation enthalpy at 0 K   -0.34 eV/atom
Space-group type   No. 71

```
CsIn5Pt2
1.0
-0.6834 -4.4461 0.4866
6.9056 -0.6262 3.9767
-5.9585 3.5320 2.8696
In Pt Cs
5 2 1
direct
0.6614 0.8609 0.3228
0.6614 0.4619 0.3228
0.3386 0.5381 0.6772
0.0000 0.5000 0.0000
0.3386 0.1391 0.6772
0.7771 0.2771 0.5542
0.2229 0.7229 0.4458
0.0000 0.0000 0.0000
```

---

Per-record total energy, eV per formula unit: -31.52, -26.82, -32.19, -29.32